1.
Computed, not measured: a relaxed Tb2Cd3Ag4 crystal at the PBE level of DFT.

Lattice parameters (Å, degrees): 8.6525 4.8880 9.2206 90.00 93.08 90.00
Space group C2/m (No. 12)
Asymmetric unit:
Tb1 0.1734 0.0000 0.2260 (multiplicity 4)
Cd1 0.0000 0.5000 0.0000 (multiplicity 2)
Cd2 0.1571 0.0000 0.5802 (multiplicity 4)
Ag1 0.0128 0.5000 0.3496 (multiplicity 4)
Ag2 0.1632 0.0000 0.9009 (multiplicity 4)

Properties
relative energy among the computed polymorphs: 0.000 eV/atom
total DFT energy (no corrections): -2.840 eV per atom
crystal system: monoclinic



2.
Computed, not measured: a relaxed Pu6PdPt5 crystal at the PBE level of DFT.

Lattice parameters (Å, degrees): 4.9404 7.0733 14.8688 90.00 90.00 90.00
Space group Immm (No. 71)
Asymmetric unit:
Pu1 0.0000 0.2432 0.0000 (multiplicity 4)
Pu2 0.0000 0.2529 0.3306 (multiplicity 8)
Pd1 0.0000 0.0000 0.5000 (multiplicity 2)
Pt1 0.0000 0.0000 0.1673 (multiplicity 4)
Pt2 0.0000 0.5000 0.1586 (multiplicity 4)
Pt3 0.0000 0.5000 0.5000 (multiplicity 2)

Properties
total DFT energy (no corrections): -10.806 eV per atom
crystal system: orthorhombic



3.
Computed, not measured: a relaxed TaTc3Ir crystal at the PBE level of DFT.

Lattice parameters (Å, degrees): 4.6211 4.6211 4.6211 90.00 90.00 90.00
Space group Pm-3m (No. 221)
Asymmetric unit:
Ta1 0.0000 0.0000 0.0000 (multiplicity 1)
Tc1 0.0000 0.0000 0.5000 (multiplicity 3)
Ir1 0.5000 0.5000 0.5000 (multiplicity 1)

Properties
relative energy among the computed polymorphs: 0.288 eV/atom
total DFT energy (no corrections): -8.355 eV per atom
crystal system: cubic



no.,ΔH_f (0 K) (eV per atom)
1,-0.24
2,-0.69
3,2.01